No. 1
The following is a PBE+U calculation of an optimized crystal structure of ErMn2PO8, from Alexandria via LeMat-Bulk.

a = 5.6159 Å, b = 5.6159 Å, c = 5.6158 Å
α = 90.00°, β = 90.00°, γ = 120.00°
Last column: nearest neighbours and their distance in Å.
Space group P-3m1 (No. 164)
Asymmetric unit:
Er  0.0000  0.0000  0.0000 (multiplicity 1)  6 O 2.25
Mn  0.3333  0.6667  0.5935 (multiplicity 2)  1 O 1.63
P  0.0000  0.0000  0.5000 (multiplicity 1)  6 O 1.75
O  0.1446  0.2892  0.6864 (multiplicity 6)  1 P 1.75, 1 Mn 1.91
O  0.3333  0.6667  0.3034 (multiplicity 2)  1 Mn 1.63

Results
Total magnetic moment, μB/atom: 0.167
Energy, eV per atom: -6.6761

***

No. 2
The following is a PBE+U calculation of an optimized crystal structure of ErPuMnO6, from Alexandria via LeMat-Bulk.

a = 5.6380 Å, b = 5.6380 Å, c = 9.0000 Å
α = 90.00°, β = 90.00°, γ = 120.00°
Last column: nearest neighbours and their distance in Å.
Space group P-31c (No. 163)
Asymmetric unit:
Er  0.3333  0.6667  0.2500 (multiplicity 2)  6 O 2.25
Pu  0.3333  0.6667  0.7500 (multiplicity 2)  6 O 2.02
Mn  0.0000  0.0000  0.0000 (multiplicity 2)  6 O 2.28
O  0.0303  0.3602  0.6310 (multiplicity 12)  1 Pu 2.02, 1 Er 2.25

Results
Total magnetic moment, μB/atom: 0.667
Energy, eV per atom: -8.7026

***

No. 3
The following is a PBE+U calculation of an optimized crystal structure of Er2PuMnO8, from Alexandria via LeMat-Bulk.

a = 5.4912 Å, b = 5.5519 Å, c = 6.4899 Å
α = 83.61°, β = 84.41°, γ = 70.59°
Last column: nearest neighbours and their distance in Å.
Space group P-1 (No. 2)
Asymmetric unit:
Er  0.1315  0.0345  0.2531 (multiplicity 2)  6 O 2.17-2.43
Pu  0.5000  0.5000  0.0000 (multiplicity 1)  6 O 1.97-2.07
Mn  0.5000  0.5000  0.5000 (multiplicity 1)  4 O 1.91-1.98
O  0.1490  0.7670  0.9987 (multiplicity 2)  1 Pu 2.00
O  0.1723  0.7628  0.5283 (multiplicity 2)  1 Mn 1.91
O  0.3686  0.2914  0.2205 (multiplicity 2)  1 Pu 1.97
O  0.4508  0.3009  0.7650 (multiplicity 2)  1 Mn 1.98, 1 Pu 2.07

Results
Total magnetic moment, μB/atom: 0.417
Energy, eV per atom: -8.5373

***

No. 4
The following is a PBE+U calculation of an optimized crystal structure of RbErMnO3, from Alexandria via LeMat-Bulk.

a = 3.5495 Å, b = 13.9259 Å, c = 9.1345 Å
α = 90.00°, β = 90.00°, γ = 90.00°
Last column: nearest neighbours and their distance in Å.
Space group Cmcm (No. 63)
Asymmetric unit:
Rb  0.0000  0.1906  0.2500 (multiplicity 4)  4 O 2.90-3.01
Er  0.0000  0.5000  0.0000 (multiplicity 4)  6 O 2.29
Mn  0.0000  0.0782  0.7500 (multiplicity 4)  4 O 1.98-2.20
O  0.0000  0.1015  0.5364 (multiplicity 8)  1 Mn 1.98
O  0.0000  0.4843  0.7500 (multiplicity 4)  2 Mn 2.20, 2 Er 2.29

Results
Total magnetic moment, μB/atom: 0.833
Energy, eV per atom: -6.9141

***

No. 5
The following is a PBE+U calculation of an optimized crystal structure of Rb4Er3MnO8, from Alexandria via LeMat-Bulk.

a = 11.9336 Å, b = 6.7350 Å, c = 7.5889 Å
α = 90.00°, β = 120.98°, γ = 90.00°
Last column: nearest neighbours and their distance in Å.
Space group C2/m (No. 12)
Asymmetric unit:
Rb  0.0000  0.0000  0.0000 (multiplicity 2)  6 O 2.80-3.04
Rb  0.0000  0.5000  0.0000 (multiplicity 2)  6 O 2.87-2.94
Rb  0.2500  0.2500  0.0000 (multiplicity 4)  6 O 2.85-2.94
Er  0.0000  0.0000  0.5000 (multiplicity 2)  6 O 2.27-2.30
Er  0.2500  0.2500  0.5000 (multiplicity 4)  6 O 2.26-2.33
Mn  0.0000  0.5000  0.5000 (multiplicity 2)  4 O 2.08
O  0.0233  0.2716  0.3372 (multiplicity 8)  1 Mn 2.08, 2 Er 2.30-2.33
O  0.2222  0.0000  0.6748 (multiplicity 4)  3 Er 2.27
O  0.2366  0.5000  0.6866 (multiplicity 4)  2 Er 2.26, 1 Mn 2.42

Results
Total magnetic moment, μB/atom: 0.125
Energy, eV per atom: -6.3165

***

No. 6
The following is a PBE+U calculation of an optimized crystal structure of ErMn2SbO6, from Alexandria via LeMat-Bulk.

a = 5.5389 Å, b = 5.5389 Å, c = 13.9284 Å
α = 90.00°, β = 90.00°, γ = 120.00°
Last column: nearest neighbours and their distance in Å.
Space group R3 (No. 146, hexagonal axes)
Asymmetric unit:
Er  0.0000  0.0000  0.0000 (multiplicity 3)  6 O 2.26-2.34
Mn  0.0000  0.0000  0.2814 (multiplicity 3)  6 O 1.96-2.08
Mn  0.0000  0.0000  0.7824 (multiplicity 3)  6 O 2.11
Sb  0.0000  0.0000  0.4942 (multiplicity 3)  6 O 2.20-2.41
O  0.0093  0.4194  0.5456 (multiplicity 9)  2 Mn 1.96-2.11
O  0.0361  0.7407  0.3815 (multiplicity 9)  2 Mn 2.08-2.11, 1 Sb 2.20, 1 Er 2.26

Results
Total magnetic moment, μB/atom: 0.800
Energy, eV per atom: -7.2867

***

No. 7
The following is a PBE+U calculation of an optimized crystal structure of Er2MnSbO6, from Alexandria via LeMat-Bulk.

a = 5.2156 Å, b = 5.2156 Å, c = 5.3572 Å
α = 90.00°, β = 90.00°, γ = 90.00°
Last column: nearest neighbours and their distance in Å.
Space group P4mm (No. 99)
Asymmetric unit:
Er  0.0000  0.5000  0.0000 (multiplicity 2)  4 O 2.24
Mn  0.0000  0.0000  0.5616 (multiplicity 1)  5 O 2.02-2.15
Sb  0.5000  0.5000  0.5891 (multiplicity 1)  5 O 2.04-2.11
O  0.0000  0.0000  0.1842 (multiplicity 1)  1 Mn 2.02
O  0.2531  0.2531  0.7621 (multiplicity 4)  1 Sb 2.04, 1 Mn 2.15, 2 Er 2.24
O  0.5000  0.5000  0.1944 (multiplicity 1)  1 Sb 2.11

Results
Total magnetic moment, μB/atom: 0.557
Energy, eV per atom: -7.2891

***

No. 8
The following is a PBE+U calculation of an optimized crystal structure of Er2Mn3Sb3O14, from Alexandria via LeMat-Bulk.

a = 12.2947 Å, b = 7.3267 Å, c = 7.2566 Å
α = 90.00°, β = 123.85°, γ = 90.00°
Last column: nearest neighbours and their distance in Å.
Space group C2/m (No. 12)
Asymmetric unit:
Er  0.2500  0.2500  0.0000 (multiplicity 4)  8 O 2.26-2.51
Mn  0.0000  0.0000  0.0000 (multiplicity 2)  2 O 2.13
Mn  0.0000  0.0000  0.5000 (multiplicity 2)  4 O 2.25-2.40
Mn  0.0000  0.5000  0.5000 (multiplicity 2)  6 O 1.97-2.16
Sb  0.0000  0.5000  0.0000 (multiplicity 2)  6 O 1.94-2.02
Sb  0.2500  0.2500  0.5000 (multiplicity 4)  6 O 1.98-2.00
O  0.0938  0.5000  0.8553 (multiplicity 4)  1 Sb 1.94, 1 Mn 2.16
O  0.1199  0.0000  0.8733 (multiplicity 4)  2 Mn 2.13-2.25, 2 Er 2.26
O  0.1237  0.2927  0.1738 (multiplicity 8)  2 Sb 2.00-2.02
O  0.1292  0.3019  0.5921 (multiplicity 8)  1 Mn 1.97, 1 Sb 1.98
O  0.1709  0.0000  0.4347 (multiplicity 4)  2 Sb 2.00

Results
Total magnetic moment, μB/atom: 0.636
Energy, eV per atom: -7.1898

***

No. 9
The following is a PBE+U calculation of an optimized crystal structure of Er2MnSe2O2, from Alexandria via LeMat-Bulk.

a = 11.4537 Å, b = 3.7585 Å, c = 6.9705 Å
α = 90.00°, β = 122.20°, γ = 90.00°
Last column: nearest neighbours and their distance in Å.
Space group C2/m (No. 12)
Asymmetric unit:
Er  0.1903  0.0000  0.2520 (multiplicity 4)  3 O 2.20-2.24
Mn  0.0000  0.0000  0.5000 (multiplicity 2)  2 O 2.08
Se  0.0683  0.5000  0.8366 (multiplicity 4)  2 Mn 2.77, 2 Er 3.09
O  0.2039  0.0000  0.5848 (multiplicity 4)  1 Mn 2.08, 3 Er 2.20-2.24

Results
Total magnetic moment, μB/atom: 0.714
Energy, eV per atom: -7.1256

***

No. 10
The following is a PBE+U calculation of an optimized crystal structure of Er2MnSiO6, from Alexandria via LeMat-Bulk.

a = 5.1256 Å, b = 5.1256 Å, c = 4.7525 Å
α = 90.00°, β = 90.00°, γ = 90.00°
Last column: nearest neighbours and their distance in Å.
Space group P4mm (No. 99)
Asymmetric unit:
Er  0.0000  0.5000  0.0000 (multiplicity 2)  4 O 2.24
Mn  0.0000  0.0000  0.5601 (multiplicity 1)  5 O 2.00-2.12
Si  0.5000  0.5000  0.6093 (multiplicity 1)  5 O 1.68-1.75
O  0.0000  0.0000  0.1384 (multiplicity 1)  1 Mn 2.00
O  0.2709  0.2709  0.7257 (multiplicity 4)  1 Si 1.75
O  0.5000  0.5000  0.2563 (multiplicity 1)  1 Si 1.68

Results
Total magnetic moment, μB/atom: 0.500
Energy, eV per atom: -7.9761

***

No. 11
The following is a PBE+U calculation of an optimized crystal structure of Sr2ErMnO5, from Alexandria via LeMat-Bulk.

a = 3.4749 Å, b = 13.2996 Å, c = 11.5506 Å
α = 90.00°, β = 90.00°, γ = 90.00°
Last column: nearest neighbours and their distance in Å.
Space group Cmc2_1 (No. 36)
Asymmetric unit:
Sr  0.0000  0.0870  0.0000 (multiplicity 4)  4 O 2.43-2.49
Sr  0.0000  0.1512  0.6283 (multiplicity 4)  7 O 2.55-2.74
Er  0.0000  0.2126  0.3499 (multiplicity 4)  6 O 2.19-2.30
Mn  0.0000  0.4756  0.7673 (multiplicity 4)  5 O 1.94-2.06
O  0.0000  0.0485  0.3592 (multiplicity 4)  2 Mn 2.06, 1 Er 2.19
O  0.0000  0.2710  0.9788 (multiplicity 4)  2 Er 2.30, 1 Sr 2.46
O  0.0000  0.3271  0.7282 (multiplicity 4)  1 Mn 2.03
O  0.0000  0.3787  0.3083 (multiplicity 4)  1 Mn 1.99
O  0.0000  0.4879  0.1043 (multiplicity 4)  1 Mn 1.94

Results
Total magnetic moment, μB/atom: 0.444
Energy, eV per atom: -7.1187

***

No. 12
The following is a PBE+U calculation of an optimized crystal structure of ErMnTc2O8, from Alexandria via LeMat-Bulk.

a = 5.9148 Å, b = 5.9148 Å, c = 6.2312 Å
α = 90.00°, β = 90.00°, γ = 120.00°
Last column: nearest neighbours and their distance in Å.
Space group P-3m1 (No. 164)
Asymmetric unit:
Er  0.0000  0.0000  0.0000 (multiplicity 1)  6 O 2.24
Mn  0.0000  0.0000  0.5000 (multiplicity 1)  6 O 2.28
Tc  0.3333  0.6667  0.3268 (multiplicity 2)  4 O 1.74-1.85
O  0.1596  0.3192  0.2451 (multiplicity 6)  1 Tc 1.85
O  0.3333  0.6667  0.6059 (multiplicity 2)  1 Tc 1.74

Results
Total magnetic moment, μB/atom: 0.667
Energy, eV per atom: -7.7704